DFT (meta-GGA SCAN) results for a crystal of InFeNF2 relaxed with PBEsol.

- Fermi-level density of states: 2.1 states/eV/f.u.
- Energy relative to the elements, uncorrected: -0.92 eV/atom
- M_tot: 3.2 μB per formula unit

abc: 4.168 4.168 3.551
angles: 90.00 90.00 90.00
Site moments in Bohr magnetons follow the coordinates.
Sites, in units of the cell vectors:
N 0.000 0.000 0.500  0.06
F 0.000 0.500 0.000  0.06
F 0.500 0.000 0.000  0.06
Fe 0.000 0.000 0.000  2.97
In 0.500 0.500 0.500  -0.05

DFT (meta-GGA SCAN) results for a crystal of Fe3IrF relaxed with PBEsol.

- Fermi-level density of states: 7.9 states/eV/f.u.
- Energy relative to the elements, uncorrected: 0.82 eV/atom
- M_tot: 11.5 μB per formula unit

abc: 4.628 4.628 4.628
angles: 90.00 90.00 90.00
Site moments in Bohr magnetons follow the coordinates.
Sites, in units of the cell vectors:
Fe 0.500 0.000 0.000  3.54
Fe 0.000 0.500 0.000  3.54
Fe 0.000 0.000 0.500  3.54
Ir 0.000 0.000 0.000  0.66
F 0.500 0.500 0.500  0.08

DFT (meta-GGA SCAN) results for a crystal of KFeF3 relaxed with PBEsol.

- Fermi-level density of states: 0.1 states/eV/f.u.
- Energy relative to the elements, uncorrected: -2.64 eV/atom
- M_tot: 4.0 μB per formula unit

abc: 4.076 4.080 4.080
angles: 90.00 90.00 90.00
Site moments in Bohr magnetons follow the coordinates.
Sites, in units of the cell vectors:
K 0.500 0.500 0.500  0.00
F 0.000 0.000 0.500  0.06
F 0.000 0.500 0.000  0.06
F 0.500 0.000 0.000  0.08
Fe 0.000 0.000 0.000  3.72

DFT (meta-GGA SCAN) results for a crystal of KLaFeF2 relaxed with PBEsol.

- Fermi-level density of states: 5.1 states/eV/f.u.
- Energy relative to the elements, uncorrected: -1.39 eV/atom
- M_tot: 2.9 μB per formula unit

abc: 4.546 4.546 8.073
angles: 90.00 90.00 90.00
Site moments in Bohr magnetons follow the coordinates.
Sites, in units of the cell vectors:
K 0.000 0.000 0.500  -0.02
F 0.500 0.000 0.000  0.00
F 0.000 0.500 0.000  0.00
La 0.000 0.000 0.000  -0.08
Fe 0.500 0.500 0.500  3.26

DFT (meta-GGA SCAN) results for a crystal of K2NaFeF6 relaxed with PBEsol.

- Fermi-level density of states: 11.2 states/eV/f.u.
- Energy relative to the elements, uncorrected: -2.78 eV/atom
- M_tot: 1.0 μB per formula unit

abc: 5.757 5.757 5.757
angles: 60.00 60.00 60.00
Site moments in Bohr magnetons follow the coordinates.
Sites, in units of the cell vectors:
F 0.228 0.228 0.772  0.01
F 0.228 0.772 0.772  0.01
F 0.772 0.772 0.228  0.01
F 0.772 0.228 0.228  0.01
F 0.772 0.228 0.772  0.01
F 0.228 0.772 0.228  0.01
K 0.750 0.750 0.750  0.00
K 0.250 0.250 0.250  0.00
Fe 0.000 0.000 0.000  0.91
Na 0.500 0.500 0.500  0.00

DFT (meta-GGA SCAN) results for a crystal of KFePbOF6 relaxed with PBEsol.

- Fermi-level density of states: 0.0 states/eV/f.u.
- Energy relative to the elements, uncorrected: -2.36 eV/atom
- M_tot: 6.0 μB per formula unit

abc: 6.037 6.038 8.926
angles: 89.11 89.55 89.35
Site moments in Bohr magnetons follow the coordinates.
Sites, in units of the cell vectors:
F 0.481 0.026 0.797  0.09
F 0.972 0.968 0.206  0.11
F 0.518 0.516 0.184  0.08
F 0.756 0.760 0.991  0.07
F 0.024 0.485 0.801  0.09
F 0.244 0.240 0.009  0.07
F 0.711 0.701 0.425  0.17
F 0.482 0.484 0.816  0.08
F 0.028 0.032 0.794  0.11
F 0.519 0.974 0.203  0.09
F 0.289 0.299 0.575  0.17
F 0.976 0.515 0.199  0.09
Pb 0.259 0.257 0.273  0.03
Pb 0.741 0.743 0.727  0.03
O 0.074 0.929 0.501  0.82
O 0.926 0.071 0.499  0.82
K 0.758 0.239 0.000  0.00
K 0.242 0.761 0.000  0.00
Fe 0.255 0.258 0.781  4.28
Fe 0.745 0.742 0.219  4.28

- energy relative to the elements, uncorrected of number 6 (KFePbOF6)?
  -2.36 eV/atom

- Among the records above, which one has the highest Fermi-level density of states?
  K2NaFeF6

- Which of these has the highest energy relative to the elements, uncorrected?
  Fe3IrF

- Look up the M_tot of the second one.
  11.5 μB per formula unit